## HfCu (PBE)

Data for a relaxed HfCu crystal.

Values from the calculation:
Space-group type: I-43m (217)
D(E_F) (states/eV/atom): 1.5363
E (eV/cell): -93.61
Magnetization (μB per atom): 0.00

Structure (POSCAR):
```
HfCu
1.0
-0.883 5.012 6.256
-3.933 -5.755 4.056
6.985 -2.606 3.074
Hf Cu
8 8
Direct
0.865 0.135 0.135
0.365 0.635 0.635
0.135 0.135 0.865
0.135 0.865 0.135
0.865 0.865 0.865
0.365 0.365 0.365
0.635 0.635 0.365
0.635 0.365 0.635
0.179 0.179 0.179
0.321 0.321 0.679
0.321 0.679 0.321
0.821 0.821 0.179
0.679 0.321 0.321
0.821 0.179 0.821
0.679 0.679 0.679
0.179 0.821 0.821
```